# 1
Here is crystalline Li2FeNi at its relaxed geometry from the Alexandria database. Energies are from PBE.

The total magnetization comes out at 0.798 μB per atom. The calculated formation energy comes out at 0.49 eV per atom. Its crystal system is tetragonal.

Cell: 6.6029 6.6029 5.2423 Å, 50.97 50.97 90.00°
Each line ends with the local moment (μB).
Atoms (fractional coordinates):
Li 0.3750 0.3602 0.7500  -0.05
Li 0.6398 0.1250 0.2500  -0.05
Li 0.1102 0.6250 0.2500  -0.05
Li 0.8750 0.8898 0.7500  -0.05
Fe 0.2500 0.7500 0.5000  2.85
Fe 0.5000 0.5000 0.0000  2.83
Ni 0.0000 0.0000 0.0000  0.55
Ni 0.7500 0.2500 0.5000  0.56



# 2
Here is crystalline PmEr2O4 at its relaxed geometry from the Alexandria database. Energies are from PBE.

The formation energy without anion corrections is -3.25 eV per atom. The total magnetization comes out at 0.000 μB per atom. Its crystal system is orthorhombic.

Cell: 6.8335 6.8335 6.8284 Å, 119.99 119.99 90.06°
Atoms (fractional coordinates):
O 0.8625 0.1376 0.7250
O 0.8625 0.1375 0.2750
O 0.4124 0.1368 0.2746
O 0.3868 0.1625 0.7746
O 0.8376 0.6132 0.2254
O 0.8632 0.5875 0.7254
O 0.3875 0.6124 0.7750
O 0.3875 0.6125 0.2250
Er 0.6250 0.3750 0.2500
Er 0.1250 0.3750 0.7500
Er 0.6250 0.3750 0.7500
Er 0.6250 0.8750 0.2500
Pm 0.2505 0.7495 0.5000
Pm 0.9995 0.0005 0.0000



# 3
Here is crystalline TlSF2 at its relaxed geometry from the Alexandria database. Energies are from PBE.

The formation energy without anion corrections is -0.53 eV per atom. The energy relative to the lowest polymorph listed for this composition comes out at 395 meV per atom. The total magnetization comes out at 0.258 μB per atom. Its crystal system is trigonal.

Cell: 5.3411 5.3411 5.3411 Å, 45.47 45.47 45.47°
Each line ends with the local moment (μB).
Atoms (fractional coordinates):
Tl 0.0000 0.0000 0.0000  0.04
S 0.5000 0.5000 0.5000  0.56
F 0.7932 0.7932 0.7932  0.08
F 0.2068 0.2068 0.2068  0.08



# 4
Here is crystalline Sm3Ga2Ir7 at its relaxed geometry from the Alexandria database. Energies are from PBE.

The total magnetization comes out at 0.000 μB per atom. The calculated formation energy comes out at -0.71 eV per atom. Its crystal system is trigonal.

Cell: 5.5119 5.5119 8.8557 Å, 71.87 71.87 60.00°
Atoms (fractional coordinates):
Ir 0.5000 0.5000 0.5000
Ir 0.9241 0.4151 0.2457
Ir 0.5849 0.5849 0.7543
Ir 0.4151 0.9241 0.2457
Ir 0.4151 0.4151 0.2457
Ir 0.5849 0.0759 0.7543
Ir 0.0759 0.5849 0.7543
Sm 0.0000 0.0000 0.0000
Sm 0.8590 0.8590 0.4230
Sm 0.1410 0.1410 0.5770
Ga 0.6645 0.6645 0.0066
Ga 0.3355 0.3355 0.9934



# 5
Here is crystalline TbNd3Hg5 at its relaxed geometry from the Alexandria database. Energies are from PBE.

The total magnetization comes out at 0.000 μB per atom. The calculated formation energy comes out at -0.43 eV per atom. Its crystal system is hexagonal.

Cell: 6.6756 9.2988 9.2989 Å, 120.00 90.00 90.00°
Atoms (fractional coordinates):
Tb 0.0000 0.0000 0.0000
Tb 0.5000 0.0000 0.0000
Hg 0.2500 0.0000 0.7058
Hg 0.0000 0.3333 0.6667
Hg 0.0000 0.6667 0.3333
Hg 0.2500 0.7059 0.0000
Hg 0.7500 0.0000 0.2942
Hg 0.5000 0.3333 0.6667
Hg 0.7500 0.7058 0.7058
Hg 0.7500 0.2941 0.0000
Hg 0.5000 0.6667 0.3333
Hg 0.2500 0.2942 0.2942
Nd 0.2500 0.3719 0.0000
Nd 0.7500 0.6281 0.0000
Nd 0.7500 0.0000 0.6281
Nd 0.7500 0.3719 0.3719
Nd 0.2500 0.6281 0.6281
Nd 0.2500 0.0000 0.3719



# 6
Here is crystalline CeYAgGe at its relaxed geometry from the Alexandria database. Energies are from PBE.

The total magnetization comes out at 0.433 μB per atom. The calculated formation energy comes out at -0.45 eV per atom. Its crystal system is cubic.

Cell: 5.1621 5.1621 5.1621 Å, 60.00 60.00 60.00°
Each line ends with the local moment (μB).
Atoms (fractional coordinates):
Ge 0.2500 0.2500 0.2500  -0.03
Y 0.5000 0.5000 0.5000  0.23
Ce 0.0000 0.0000 0.0000  0.97
Ag 0.7500 0.7500 0.7500  0.04



# 7
Here is crystalline CdAgIr at its relaxed geometry from the Alexandria database. Energies are from PBE.

The energy relative to the lowest polymorph listed for this composition comes out at 48 meV per atom. The total magnetization comes out at 0.000 μB per atom. The calculated formation energy comes out at 0.28 eV per atom. Its crystal system is orthorhombic.

Cell: 7.6136 7.3716 2.8353 Å, 83.94 74.32 21.74°
Atoms (fractional coordinates):
Cd 0.6703 0.6703 0.3297
Ir 0.3326 0.3326 0.6674
Ag 0.9971 0.9971 0.0029



# 8
Here is crystalline LiInO2 at its relaxed geometry from the Alexandria database. Energies are from PBE.

The formation energy without anion corrections is -1.68 eV per atom. The total magnetization comes out at 0.000 μB per atom. Its crystal system is tetragonal.

Cell: 4.6715 4.6715 5.9007 Å, 66.68 66.68 90.00°
Atoms (fractional coordinates):
O 0.1382 0.6250 0.2500
O 0.8750 0.8618 0.7500
O 0.6118 0.1250 0.2500
O 0.3750 0.3882 0.7500
In 0.0000 0.0000 0.0000
In 0.7500 0.2500 0.5000
Li 0.2500 0.7500 0.5000
Li 0.5000 0.5000 0.0000